Tb6Pr3Tm2Sc: relaxed, PBE.

## Properties
The formation energy is 0.0333 eV per atom. As for the crystal system: monoclinic. As for the space-group type: C2/m, No. 12. The calculation puts the density of states at the Fermi level at 17.15 states/eV per cell.

Cell lengths 6.1832, 6.1832, 11.7934 Å; angles 95.01, 95.01, 120.00 degrees
Closest atoms and distances in Å follow each position.
Fractional coordinates of all 12 atoms:
Tb (0.0801, 0.4110, 0.2414)  1 Sc 3.47, 2 Tm 3.48-3.49, 6 Tb 3.54-3.58, 3 Pr 3.64-3.65
Tb (0.2508, 0.2508, 0.7584)  1 Sc 3.47, 2 Tm 3.48, 6 Tb 3.54-3.58, 3 Pr 3.64-3.65
Tb (0.4110, 0.0801, 0.2414)  1 Sc 3.47, 2 Tm 3.48-3.49, 6 Tb 3.54-3.58, 3 Pr 3.64-3.65
Tb (0.5890, 0.9199, 0.7586)  1 Sc 3.47, 2 Tm 3.48-3.49, 6 Tb 3.54-3.58, 3 Pr 3.64-3.65
Tb (0.7492, 0.7492, 0.2416)  1 Sc 3.47, 2 Tm 3.48, 6 Tb 3.54-3.58, 3 Pr 3.64-3.65
Tb (0.9199, 0.5890, 0.7586)  1 Sc 3.47, 2 Tm 3.48-3.49, 6 Tb 3.54-3.58, 3 Pr 3.64-3.65
Pr (0.1666, 0.8334, 0.5000)  6 Pr 3.57, 6 Tb 3.64-3.65
Pr (0.5000, 0.5000, 0.5000)  6 Pr 3.57, 6 Tb 3.64-3.65
Pr (0.8334, 0.1666, 0.5000)  6 Pr 3.57, 6 Tb 3.64-3.65
Tm (0.3335, 0.6665, 0.0000)  6 Tb 3.48-3.49, 3 Tm 3.57, 3 Sc 3.57
Tm (0.6665, 0.3335, 0.0000)  6 Tb 3.48-3.49, 3 Tm 3.57, 3 Sc 3.57
Sc (0.0000, 0.0000, 0.0000)  6 Tb 3.47, 6 Tm 3.57


TbPr2Tm2Sc2: relaxed, PBE.

## Properties
The formation energy is 0.1725 eV per atom. As for the crystal system: monoclinic. As for the space-group type: C2/m, No. 12. The calculation puts the density of states at the Fermi level at 13.20 states/eV per cell.

Cell lengths 5.8860, 5.8860, 11.6199 Å; angles 101.25, 101.25, 33.74 degrees
Closest atoms and distances in Å follow each position.
Fractional coordinates of all 7 atoms:
Tb (0.0000, 0.0000, 0.0000)  6 Pr 3.39-3.60, 2 Tb 3.42, 2 Tm 3.52
Pr (0.2926, 0.2926, 0.1477)  3 Tb 3.39-3.60, 1 Sc 3.39, 4 Pr 3.42-3.78, 3 Tm 3.55-3.62
Pr (0.7074, 0.7074, 0.8523)  3 Tb 3.39-3.60, 1 Sc 3.39, 4 Pr 3.42-3.78, 3 Tm 3.55-3.62
Tm (0.0495, 0.0495, 0.3090)  5 Sc 3.31-3.49, 2 Tm 3.42, 1 Tb 3.52, 3 Pr 3.55-3.62
Tm (0.9505, 0.9505, 0.6910)  5 Sc 3.31-3.49, 2 Tm 3.42, 1 Tb 3.52, 3 Pr 3.55-3.62
Sc (0.3560, 0.3560, 0.4459)  5 Sc 3.23-3.42, 5 Tm 3.31-3.49, 1 Pr 3.39
Sc (0.6440, 0.6440, 0.5541)  5 Sc 3.23-3.42, 5 Tm 3.31-3.49, 1 Pr 3.39


TbPr2Tm5Sc: relaxed, PBE.

## Properties
The formation energy is 0.1564 eV per atom. As for the crystal system: orthorhombic. As for the space-group type: Cmc2_1, No. 36. The calculation puts the density of states at the Fermi level at 23.53 states/eV per cell.

Cell lengths 10.2526, 10.2526, 10.3815 Å; angles 90.00, 90.00, 148.67 degrees
Closest atoms and distances in Å follow each position.
Fractional coordinates of all 18 atoms:
Tb (0.0893, 0.9107, 0.5000)  6 Tm 3.02-3.36
Tb (0.9107, 0.0893, 0.0000)  6 Tm 3.02-3.36
Pr (0.3846, 0.6154, 0.7749)  1 Sc 3.33, 7 Tm 3.42-3.63, 2 Tb 3.66
Pr (0.3873, 0.6127, 0.3558)  9 Tm 3.23-3.61, 1 Sc 3.54
Pr (0.6127, 0.3873, 0.8558)  9 Tm 3.23-3.61, 1 Sc 3.54
Pr (0.6154, 0.3846, 0.2749)  1 Sc 3.33, 7 Tm 3.42-3.63, 2 Tb 3.66
Tm (0.0178, 0.9822, 0.7804)  2 Tb 3.11-3.24, 2 Pr 3.43
Tm (0.1230, 0.8770, 0.0602)  4 Pr 3.49-3.56, 1 Sc 3.55, 6 Tm 3.57-3.91
Tm (0.2015, 0.7985, 0.7439)  1 Tb 3.36, 4 Tm 3.37-3.65, 2 Sc 3.39, 3 Pr 3.48-3.63
Tm (0.2237, 0.7763, 0.3616)  1 Tb 3.02, 1 Pr 3.23, 2 Tm 3.37
Tm (0.4835, 0.5165, 0.0607)  2 Tb 3.18, 3 Pr 3.32-3.55, 1 Sc 3.56
Tm (0.5165, 0.4835, 0.5607)  2 Tb 3.18, 3 Pr 3.32-3.55, 1 Sc 3.56
Tm (0.7763, 0.2237, 0.8616)  1 Tb 3.02, 1 Pr 3.23, 2 Tm 3.37
Tm (0.7985, 0.2015, 0.2439)  1 Tb 3.36, 4 Tm 3.37-3.65, 2 Sc 3.39, 3 Pr 3.48-3.63
Tm (0.8770, 0.1230, 0.5602)  4 Pr 3.49-3.56, 1 Sc 3.55, 6 Tm 3.57-3.91
Tm (0.9822, 0.0178, 0.2804)  2 Tb 3.11-3.24, 2 Pr 3.43
Sc (0.3030, 0.6970, 0.0551)  2 Pr 3.33-3.54, 7 Tm 3.39-3.56, 2 Tb 3.54
Sc (0.6970, 0.3030, 0.5551)  2 Pr 3.33-3.54, 7 Tm 3.39-3.56, 2 Tb 3.54


> Which formula does entry 2 have?

TbPr2Tm2Sc2